No. 1
VASP calculation (PBE-GGA) on K3BiAu8 after structural relaxation.

## Properties
SG: R3m
Energy of formation from the pure elements, eV per atom: -0.223
V, Å³ per cell: 275.88

a b c (Å): 5.789 5.789 10.076
angles (deg): 73.30 73.30 60.00
Positions (direct):
Au 0.437 0.932 0.194
Au 0.937 0.937 0.683
Au 0.443 0.937 0.683
Au 0.932 0.437 0.194
Au 0.437 0.437 0.194
Au 0.186 0.186 0.441
Au 0.687 0.687 0.940
Au 0.937 0.443 0.683
Bi 0.880 0.880 0.361
K 0.499 0.499 0.502
K 0.373 0.373 0.880
K 0.001 0.001 0.996

---

No. 2
VASP calculation (PBE-GGA) on K2Bi4Au3 after structural relaxation.

## Properties
SG: Fmmm
Energy of formation from the pure elements, eV per atom: -0.198
V, Å³ per cell: 291.13

a b c (Å): 7.041 7.041 7.785
angles (deg): 101.73 101.73 123.39
Positions (direct):
Au 0.000 0.000 0.000
Au 0.500 0.000 0.000
Au 0.000 0.500 0.000
Bi 0.981 0.308 0.288
Bi 0.019 0.692 0.712
Bi 0.692 0.019 0.712
Bi 0.308 0.981 0.288
K 0.629 0.629 0.257
K 0.371 0.371 0.743

---

Q: Which formula does entry 1 have?
A: K3BiAu8